VASP calculation (SCAN) on BaHfO2F at its PBEsol-relaxed geometry.

Properties
Energy (eV per atom): -24.2138

```
data_BaHfO2F
_chemical_formula_sum 'Ba1 Hf1 O2 F1'
_space_group_name_H-M_alt 'P 4/m m m'
_space_group_IT_number 123
_space_group_name_Hall '-P 4 2'
_cell_length_a 4.768
_cell_length_b 4.768
_cell_length_c 4.642
_cell_angle_alpha 90.00
_cell_angle_beta 90.00
_cell_angle_gamma 90.00
loop_
_atom_site_label
_atom_site_fract_x
_atom_site_fract_y
_atom_site_fract_z
_atom_site_occupancy
Ba1 0.000 0.000 0.000 1
Hf1 0.500 0.500 0.500 1
O1 0.000 0.500 0.000 1
F1 0.000 0.000 0.500 1
```